## NaCaCd (PBE-GGA)

Data for a geometry-optimized NaCaCd structure.

Calculated values
energy above the most stable polymorph in this dataset: 90.7 meV/atom
VASP energy: -8.65 eV per cell
formation energy from the elements: -30 meV per atom

a b c (Å): 5.3457 5.3457 7.3625
angles (deg): 90.00 90.00 89.97
Last column: nearest neighbours and their distance in Å.
Atoms (fractional coordinates):
Na 0.0977 0.6020 0.2500  4 Cd 3.24-3.25
Na 0.6020 0.0977 0.7500  4 Cd 3.24-3.25
Cd 0.5994 0.5994 0.5000  4 Na 3.24-3.25, 4 Ca 3.24-3.25
Cd 0.5994 0.5994 0.0000  4 Na 3.24-3.25, 4 Ca 3.24-3.25
Ca 0.1002 0.5953 0.7500  4 Cd 3.24-3.25
Ca 0.5953 0.1002 0.2500  4 Cd 3.24-3.25